[1]
{"formula": "AcDyEr", "functional": "PBE", "state": "optimized geometry", "lattice_angstrom": [[-1.046, -4.499, 0.114], [3.263, -0.839, -3.162], [4.043, -0.829, 4.393]], "species": ["Dy", "Ac", "Er"], "fractional_positions": [[0.500, 0.500, 0.500], [0.000, 0.000, 0.000], [0.500, 0.500, 0.000]], "relative_energy_ev_per_atom": 0.819, "crystal_system": "tetragonal", "total_energy_ev_per_atom": -3.539}


[2]
{"formula": "BeSnAu3", "functional": "PBE", "state": "optimized geometry", "lattice_angstrom": [[5.211, 0.000, 0.000], [0.000, 5.211, 0.000], [0.000, 0.000, 5.211]], "species": ["Au", "Au", "Au", "Sn", "Be"], "fractional_positions": [[0.000, 0.000, 0.500], [0.000, 0.500, 0.000], [0.500, 0.000, 0.000], [0.000, 0.000, 0.000], [0.500, 0.500, 0.500]], "relative_energy_ev_per_atom": 1.025, "crystal_system": "cubic", "total_energy_ev_per_atom": -2.554}


[3]
{"formula": "BaAc6Ru3", "functional": "PBE", "state": "optimized geometry", "lattice_angstrom": [[4.325, 0.000, 0.000], [0.000, 12.654, -3.364], [0.000, 0.461, 13.639]], "species": ["Ac", "Ac", "Ac", "Ac", "Ac", "Ac", "Ac", "Ac", "Ac", "Ac", "Ac", "Ac", "Ru", "Ru", "Ru", "Ru", "Ru", "Ru", "Ba", "Ba"], "fractional_positions": [[0.250, 0.478, 0.371], [0.250, 0.761, 0.539], [0.750, 0.522, 0.629], [0.750, 0.934, 0.091], [0.750, 0.786, 0.812], [0.250, 0.214, 0.188], [0.250, 0.343, 0.759], [0.750, 0.657, 0.241], [0.750, 0.384, 0.032], [0.750, 0.239, 0.461], [0.250, 0.616, 0.968], [0.250, 0.066, 0.909], [0.750, 0.492, 0.840], [0.750, 0.154, 0.050], [0.750, 0.636, 0.461], [0.250, 0.364, 0.539], [0.250, 0.508, 0.160], [0.250, 0.846, 0.950], [0.250, 0.959, 0.355], [0.750, 0.041, 0.645]], "crystal_system": "monoclinic", "total_energy_ev_per_atom": -5.538}


[4]
{"formula": "Pm2Pr5Y2", "functional": "PBE", "state": "optimized geometry", "lattice_angstrom": [[-1.119, -11.987, -0.275], [6.683, -0.665, 1.796], [-4.745, 6.342, 6.547]], "species": ["Pr", "Pr", "Pr", "Pr", "Pr", "Pr", "Pr", "Pr", "Pr", "Pr", "Pm", "Pm", "Pm", "Pm", "Y", "Y", "Y", "Y"], "fractional_positions": [[0.190, 0.660, 0.894], [0.008, 0.659, 0.500], [0.592, 0.232, 0.714], [0.796, 0.266, 0.106], [0.810, 0.766, 0.106], [0.408, 0.519, 0.286], [0.992, 0.159, 0.500], [0.204, 0.160, 0.894], [0.378, 0.019, 0.286], [0.622, 0.732, 0.714], [0.622, 0.182, 0.253], [0.131, 0.682, 0.253], [0.378, 0.929, 0.747], [0.869, 0.429, 0.747], [0.000, 0.042, 0.000], [0.257, 0.347, 0.500], [0.500, 0.542, 0.000], [0.743, 0.847, 0.500]], "relative_energy_ev_per_atom": 0.183, "crystal_system": "orthorhombic", "total_energy_ev_per_atom": -4.950}


[5]
{"formula": "In12Hg4Pb", "functional": "PBE", "state": "optimized geometry", "lattice_angstrom": [[-5.228, 7.164, 3.439], [-2.149, -1.578, -6.904], [-0.430, -9.056, 2.736]], "species": ["In", "In", "In", "In", "In", "In", "In", "In", "In", "In", "In", "In", "Hg", "Hg", "Hg", "Hg", "Pb"], "fractional_positions": [[0.438, 0.097, 0.327], [0.956, 0.258, 0.240], [0.877, 0.221, 0.654], [0.485, 0.259, 0.746], [0.515, 0.741, 0.254], [0.562, 0.903, 0.673], [0.763, 0.459, 0.339], [0.044, 0.742, 0.760], [0.682, 0.698, 0.029], [0.123, 0.779, 0.346], [0.318, 0.302, 0.971], [0.237, 0.541, 0.661], [0.500, 0.000, 0.000], [0.500, 0.500, 0.500], [0.000, 0.000, 0.500], [0.000, 0.500, 0.000], [0.000, 0.000, 0.000]], "crystal_system": "triclinic", "total_energy_ev_per_atom": -2.185}


[6]
{"formula": "NaTl", "functional": "PBE", "state": "optimized geometry", "lattice_angstrom": [[-5.941, 1.527, -1.341], [-1.995, -3.604, 4.739], [0.391, 5.014, 3.979]], "species": ["Na", "Na", "Na", "Na", "Tl", "Tl", "Tl", "Tl"], "fractional_positions": [[0.815, 0.185, 0.000], [0.185, 0.815, 0.000], [0.315, 0.315, 0.500], [0.685, 0.685, 0.500], [0.820, 0.180, 0.500], [0.680, 0.680, 0.000], [0.320, 0.320, 0.000], [0.180, 0.820, 0.500]], "crystal_system": "tetragonal", "total_energy_ev_per_atom": -1.833}